(1)
K3TaBr8 (PBE, relaxed); uncorrected formation energy = -1.29 eV/atom; electronic total energy = -3.670 eV/atom
1.0
10.053 0.000 0.000
0.000 8.669 -5.005
0.000 0.000 10.010
Br Ta K
16 2 6
Cartesian
0.084 3.926 3.210 Br
4.804 0.000 0.000 Br
8.040 6.816 1.797 Br
5.111 4.743 1.794 Br
1.672 5.779 0.000 Br
8.040 3.704 0.000 Br
8.040 6.816 -1.797 Br
9.831 0.000 0.000 Br
0.084 3.926 6.799 Br
3.014 4.964 5.005 Br
5.111 4.743 -1.794 Br
6.698 2.889 5.005 Br
3.014 1.852 6.802 Br
0.084 0.817 5.005 Br
5.111 7.851 0.000 Br
3.014 1.852 3.208 Br
1.486 2.889 5.005 Ta
6.513 5.779 0.000 Ta
1.864 7.345 -2.713 K
6.890 1.323 2.292 K
1.864 7.345 2.713 K
6.890 1.323 7.717 K
6.890 6.022 5.005 K
1.864 2.647 0.000 K



(2)
K2TaBr (PBE, relaxed); uncorrected formation energy = 0.34 eV/atom; distance to the lowest polymorph of the same formula = 0 meV/atom; electronic total energy = -3.587 eV/atom
1.0
3.354 0.000 0.000
0.000 3.354 0.000
0.000 0.000 10.537
K Ta Br
2 1 1
Cartesian
0.000 0.000 5.720 K
0.000 0.000 10.085 K
1.677 1.677 2.634 Ta
1.677 1.677 7.903 Br



(3)
K2TaBr7 (PBE, relaxed); uncorrected formation energy = -1.13 eV/atom; electronic total energy = -3.704 eV/atom
1.0
7.470 0.000 3.643
3.281 10.185 2.751
0.088 -0.951 9.299
K Br Ta
4 14 2
Cartesian
8.022 8.928 11.638 K
2.817 0.306 4.054 K
4.225 4.923 9.945 K
6.614 4.311 5.748 K
7.896 7.310 8.786 Br
5.332 1.833 9.830 Br
10.355 9.801 9.062 Br
4.946 7.369 12.162 Br
8.096 2.752 8.494 Br
9.281 7.491 5.946 Br
0.484 -0.567 6.630 Br
2.943 1.923 6.907 Br
3.544 5.001 4.070 Br
2.743 6.481 7.198 Br
5.893 1.864 3.531 Br
5.507 7.401 5.863 Br
1.558 1.742 9.747 Br
7.295 4.233 11.623 Br
7.784 1.833 11.026 Ta
3.055 7.401 4.667 Ta



(4)
KTaBr4 (PBE, relaxed); uncorrected formation energy = 0.74 eV/atom; electronic total energy = -2.536 eV/atom
1.0
0.976 -6.291 -1.115
-4.596 -3.525 -2.868
0.852 -2.117 -6.047
K Br Ta
1 4 1
Cartesian
-2.076 -8.949 -7.523 K
-3.346 -6.239 -5.196 Br
-0.608 -5.531 -6.794 Br
-0.546 -7.629 -4.315 Br
-1.036 -4.467 -3.755 Br
0.000 0.000 0.000 Ta